[1]
This record from Alexandria via LeMat-Bulk describes crystalline ThZrSc6 at its relaxed geometry. The functional is PBE.

abc: 5.2235 8.0894 7.9925
angles: 39.23 70.93 71.16
Last column: nearest neighbours and their distance in Å.
Atoms (fractional coordinates):
Th  0.0000  0.0000  0.0000  8 Sc 3.14-3.45
Sc  0.3640  0.1943  0.0777  1 Zr 3.04, 7 Sc 3.08-3.39, 2 Th 3.27
Sc  0.1325  0.4095  0.3256  7 Sc 3.11-3.39, 2 Th 3.14-3.45, 2 Zr 3.23
Sc  0.8675  0.5905  0.6744  7 Sc 3.11-3.39, 2 Th 3.14-3.45, 2 Zr 3.23
Sc  0.7448  0.1969  0.3135  10 Sc 3.08-3.34
Sc  0.2552  0.8031  0.6865  10 Sc 3.08-3.34
Sc  0.6360  0.8057  0.9223  1 Zr 3.04, 7 Sc 3.08-3.39, 2 Th 3.27
Zr  0.5000  0.5000  0.5000  6 Sc 3.04-3.23

Output
DFT formation energy: 0.079 eV/atom
ΔE to the lowest computed polymorph: 0.048 eV/atom

=====

[2]
This record from Alexandria via LeMat-Bulk describes crystalline Th2Zr2Sc5 at its relaxed geometry. The functional is PBE.

abc: 10.9713 5.6316 9.9816
angles: 95.78 130.76 94.01
Last column: nearest neighbours and their distance in Å.
Atoms (fractional coordinates):
Zr  0.7839  0.0990  0.5924  3 Th 3.19-3.31, 8 Sc 3.25-3.36, 1 Zr 3.31
Zr  0.0025  0.2078  0.0329  4 Th 3.24-3.35, 6 Sc 3.25-3.33, 2 Zr 3.29-3.31
Zr  0.4418  0.4226  0.9114  4 Th 3.22-3.35, 7 Sc 3.27-3.33, 1 Zr 3.30
Zr  0.2213  0.3151  0.4713  6 Sc 3.26-3.33, 4 Th 3.28-3.30, 2 Zr 3.29-3.30
Th  0.5615  0.9838  0.1509  8 Sc 3.20-3.36, 3 Zr 3.31-3.35, 1 Th 3.39
Th  0.8828  0.6469  0.7934  4 Zr 3.19-3.35, 7 Sc 3.27-3.34, 1 Th 3.39
Th  0.1090  0.7602  0.2455  4 Zr 3.24-3.29, 6 Sc 3.29-3.35, 2 Th 3.39-3.41
Th  0.3352  0.8721  0.6993  4 Zr 3.22-3.30, 6 Sc 3.28-3.34, 2 Th 3.39-3.41
Sc  0.3898  0.1467  0.3107  7 Sc 3.22-3.33, 3 Zr 3.27-3.33, 2 Th 3.29
Sc  0.8316  0.3680  0.1892  3 Zr 3.25-3.31, 7 Sc 3.25-3.35, 2 Th 3.32-3.33
Sc  0.1662  0.0400  0.8660  6 Sc 3.20-3.34, 3 Zr 3.25-3.33, 3 Th 3.30-3.36
Sc  0.6135  0.2593  0.7529  6 Sc 3.25-3.31, 4 Zr 3.28-3.33, 2 Th 3.32-3.33
Sc  0.6625  0.5333  0.3550  3 Th 3.20-3.29, 6 Sc 3.29-3.34, 3 Zr 3.30-3.36
Sc  0.9463  0.9309  0.4221  7 Sc 3.21-3.38, 3 Th 3.26-3.35, 2 Zr 3.29-3.31
Sc  0.7217  0.8148  0.9717  6 Sc 3.25-3.38, 4 Th 3.28-3.35, 2 Zr 3.32-3.33
Sc  0.4985  0.7038  0.5246  7 Sc 3.22-3.38, 3 Th 3.27-3.34, 2 Zr 3.32-3.34
Sc  0.0566  0.4786  0.6357  7 Sc 3.21-3.35, 3 Zr 3.26-3.31, 2 Th 3.30
Sc  0.2751  0.5891  0.0750  7 Sc 3.20-3.38, 2 Zr 3.27-3.32, 3 Th 3.31-3.33

Output
DFT formation energy: 0.036 eV/atom